First-principles (PBE-GGA) data for an optimized crystal structure of BaPmCu2H6, as listed in Alexandria via LeMat-Bulk.

Lattice parameters (Å, degrees): 6.500 6.500 6.846 103.97 103.97 99.23
Fractional coordinates of all 20 atoms:
Ba1 0.153 0.847 0.250
Ba2 0.847 0.153 0.750
Pm1 0.585 0.415 0.250
Pm2 0.415 0.585 0.750
Cu1 0.371 0.068 0.851
Cu2 0.932 0.629 0.649
Cu3 0.629 0.932 0.149
Cu4 0.068 0.371 0.351
H1 0.910 0.413 0.152
H2 0.587 0.090 0.348
H3 0.090 0.587 0.848
H4 0.413 0.910 0.652
H5 0.249 0.151 0.024
H6 0.849 0.751 0.476
H7 0.751 0.849 0.976
H8 0.151 0.249 0.524
H9 0.317 0.534 0.388
H10 0.466 0.683 0.112
H11 0.683 0.466 0.612
H12 0.534 0.317 0.888

Values from the calculation:
- M_tot (μB per formula unit) = 0.0
- total DFT energy (no corrections) (eV per atom) = -3.8247
- theoretical density (g/cm³) = 5.2
- SG = C2/c (15)
- D(E_F) (states/eV per atom) = 0.214